A geometry-optimized CoCuIr2 structure. Source: the Alexandria database, functional GGA-PBE.

a b c (Å): 2.659 2.659 8.862
angles (deg): 90.00 90.00 119.19
Each line ends with the local moment (μB).
Sites, in units of the cell vectors:
Ir 0.500 0.500 0.261  0.27
Ir 0.000 0.000 0.994  -0.02
Co 0.000 0.000 0.504  1.76
Cu 0.500 0.500 0.741  0.01

VASP energy: -0.509 Ry per atom
total magnetization: 2.0 μB/f.u.
energy above the lowest structure with this stoichiometry: 0.233 eV/atom
volume: 13.677 Å³/atom
N(E_F): 6.783 states/eV/f.u.
symmetry: Cmm2
formation energy from the elements: 301 meV per atom

***

A geometry-optimized Co2CuIr structure. Source: the Alexandria database, functional GGA-PBE.

a b c (Å): 4.846 4.846 4.846
angles (deg): 145.09 129.94 62.48
Each line ends with the local moment (μB).
Sites, in units of the cell vectors:
Co 0.994 0.994 0.000  1.83
Ir 0.250 0.750 0.500  0.58
Cu 0.750 0.250 0.500  0.07
Co 0.506 0.506 0.000  1.83

VASP energy: -0.486 Ry per atom
total magnetization: 4.2 μB/f.u.
volume: 12.349 Å³/atom
N(E_F): 4.952 states/eV/f.u.
symmetry: Immm
formation energy from the elements: 185 meV per atom

***

A geometry-optimized Co2CuIr2 structure. Source: the Alexandria database, functional GGA-PBE.

a b c (Å): 7.191 7.191 2.659
angles (deg): 90.00 90.00 90.00
Each line ends with the local moment (μB).
Sites, in units of the cell vectors:
Co 0.167 0.667 0.500  1.46
Cu 0.000 0.000 0.000  0.06
Co 0.333 0.167 0.500  1.47
Co 0.667 0.833 0.500  1.47
Ir 0.869 0.631 0.000  0.41
Co 0.833 0.333 0.500  1.46
Ir 0.631 0.131 0.000  0.39
Cu 0.500 0.500 0.000  0.06
Ir 0.131 0.369 0.000  0.41
Ir 0.369 0.869 0.000  0.39

VASP energy: -0.508 Ry per atom
total magnetization: 3.8 μB/f.u.
energy above the lowest structure with this stoichiometry: 0.017 eV/atom
volume: 13.747 Å³/atom
N(E_F): 5.855 states/eV/f.u.
symmetry: P4/mbm
formation energy from the elements: 288 meV per atom

***

A geometry-optimized CoCu2Ir structure. Source: the Alexandria database, functional GGA-PBE.

a b c (Å): 2.592 2.592 8.608
angles (deg): 90.00 90.00 116.67
Each line ends with the local moment (μB).
Sites, in units of the cell vectors:
Ir 0.000 0.000 0.505  0.51
Co 0.500 0.500 0.755  1.84
Cu 0.000 0.000 0.999  0.01
Cu 0.500 0.500 0.241  0.03

VASP energy: -0.429 Ry per atom
total magnetization: 2.4 μB/f.u.
energy above the lowest structure with this stoichiometry: 0.102 eV/atom
volume: 12.923 Å³/atom
N(E_F): 4.330 states/eV/f.u.
symmetry: Cmm2
formation energy from the elements: 197 meV per atom